(1)
First-principles (PBE) data for a relaxed LiBiSe2 crystal, as listed in the Alexandria database.

a b c (Å): 6.1872 6.1872 12.9571
angles (deg): 90.00 90.00 90.00
Sites, in units of the cell vectors:
Li (0.0000, 0.0000, 0.0000)
Li (0.0000, 0.5000, 0.2500)
Li (0.5000, 0.0000, 0.7500)
Li (0.5000, 0.5000, 0.5000)
Bi (0.0000, 0.0000, 0.5000)
Bi (0.0000, 0.5000, 0.7500)
Bi (0.5000, 0.0000, 0.2500)
Bi (0.5000, 0.5000, 0.0000)
Se (0.2162, 0.2500, 0.1250)
Se (0.2500, 0.7162, 0.3750)
Se (0.2500, 0.7838, 0.8750)
Se (0.2838, 0.2500, 0.6250)
Se (0.7162, 0.7500, 0.6250)
Se (0.7500, 0.2162, 0.8750)
Se (0.7500, 0.2838, 0.3750)
Se (0.7838, 0.7500, 0.1250)

Values from the calculation:
Total energy, eV per atom: -3.81
Magnetization, μB/f.u.: 0.0
Raw formation energy, eV per atom: -0.6153



(2)
First-principles (PBE) data for a relaxed LiBiSe2 crystal, as listed in the Alexandria database.

a b c (Å): 4.1137 4.1137 21.3075
angles (deg): 90.00 90.00 120.00
Sites, in units of the cell vectors:
Li (0.0000, 0.0000, 0.0000)
Li (0.3333, 0.6667, 0.6667)
Li (0.6667, 0.3333, 0.3333)
Bi (0.0000, 0.0000, 0.1827)
Bi (0.3333, 0.6667, 0.8494)
Bi (0.6667, 0.3333, 0.5160)
Se (0.0000, 0.0000, 0.6030)
Se (0.0000, 0.0000, 0.7691)
Se (0.3333, 0.6667, 0.2697)
Se (0.3333, 0.6667, 0.4358)
Se (0.6667, 0.3333, 0.1025)
Se (0.6667, 0.3333, 0.9363)

Values from the calculation:
Total energy, eV per atom: -3.87
Magnetization, μB/f.u.: 0.0
Raw formation energy, eV per atom: -0.6820



(3)
First-principles (PBE) data for a relaxed Li2SiBiSe4 crystal, as listed in the Alexandria database.

a b c (Å): 7.9369 7.9369 7.9369
angles (deg): 121.85 118.56 89.67
Sites, in units of the cell vectors:
Li (0.0000, 0.0000, 0.0000)
Li (0.5000, 0.0000, 0.0000)
Li (0.5000, 0.0000, 0.5000)
Li (0.5000, 0.5000, 0.5000)
Si (0.0000, 0.0000, 0.5000)
Si (0.0000, 0.5000, 0.0000)
Bi (0.0000, 0.5000, 0.5000)
Bi (0.5000, 0.5000, 0.0000)
Se (0.2195, 0.2412, 0.9782)
Se (0.2374, 0.2180, 0.4805)
Se (0.2374, 0.7569, 0.0195)
Se (0.2370, 0.7588, 0.4782)
Se (0.7630, 0.2412, 0.5218)
Se (0.7626, 0.2431, 0.9805)
Se (0.7626, 0.7820, 0.5195)
Se (0.7805, 0.7588, 0.0217)

Values from the calculation:
Total energy, eV per atom: -3.97
Magnetization, μB/f.u.: 0.0
Raw formation energy, eV per atom: -0.5839



> Which of these has the lowest raw formation energy?

number 2